This record from Alexandria via LeMat-Bulk describes a relaxed KCa2Tl9 crystal. The functional is PBE.

Values from the calculation:
Volume   361.6 Å³ per cell
Total energy   -2.359 eV/atom
DFT formation energy   -0.159 eV per atom
Symmetry   P4/mmm

Cell lengths 4.930, 4.930, 14.878 Å; angles 90.00, 90.00, 90.00 degrees
Sites, in units of the cell vectors:
1 Tl 0.500 0.000 0.500
2 Tl 0.500 0.000 0.176
3 Tl 0.500 0.500 0.336
4 Tl 0.000 0.500 0.500
5 Tl 0.500 0.500 0.000
6 Tl 0.000 0.500 0.824
7 Tl 0.500 0.500 0.664
8 Tl 0.500 0.000 0.824
9 Tl 0.000 0.500 0.176
10 Ca 0.000 0.000 0.660
11 Ca 0.000 0.000 0.340
12 K 0.000 0.000 0.000